Density functional theory data (PBE) for CaTiW3 after structural relaxation.

Cell lengths 4.723, 4.723, 4.723 Å; angles 90.00, 90.00, 90.00 degrees
Space group Pm-3m (No. 221)
One atom of each set of equivalent atoms:
Ca 0.000 0.000 0.000
Ti 0.500 0.500 0.500
W 0.000 0.500 0.500

- Uncorrected energy: -8.133 eV per atom
- Calculated density: 10.1 g/cm3
- Fermi-level density of states: 5.3 states/eV/cell
- Energy relative to the elements: 1618 meV per atom